1.
V2MoO8: relaxed, PBEsol.

Cell: 3.6457 4.0965 9.6592 Å, 89.79 100.88 90.00°
With the nearest neighbours (Å) after each atom.
Atoms (fractional coordinates):
O  0.0722  0.9863  0.1444  1 V 1.77, 1 Mo 1.90
O  0.6828  0.9872  0.3656  3 V 1.90-1.98
O  0.2654  0.0030  0.5308  3 V 1.90-2.00
O  0.7862  0.4859  0.5724  1 V 1.60
O  0.8754  0.9936  0.7509  1 V 1.78, 1 Mo 1.89
O  0.9736  0.4986  0.9471  1 Mo 1.70
O  0.4741  0.0057  0.9482  2 Mo 1.86
O  0.1626  0.5029  0.3252  1 V 1.60
Mo  0.9733  0.9128  0.9467  5 O 1.70-1.90
V  0.7845  0.0966  0.5689  2 O 1.60-1.78
V  0.1631  0.8924  0.3262  2 O 1.60-1.77

Summary:
space-group type	Cm (8)
spin magnetization	0.000	μB per atom
DFT total energy	-96.55	eV per cell

***

2.
NiPI3: relaxed, PBEsol.

Cell: 5.0681 5.0681 5.0681 Å, 90.00 90.00 90.00°
With the nearest neighbours (Å) after each atom.
Atoms (fractional coordinates):
I  0.0000  0.5000  0.0000  2 Ni 2.53
I  0.5000  0.0000  0.0000  2 Ni 2.53
I  0.0000  0.0000  0.5000  2 Ni 2.53
P  0.5000  0.5000  0.5000  12 I 3.58
Ni  0.0000  0.0000  0.0000  6 I 2.53

Summary:
space-group type	Pm-3m (221)
spin magnetization	0.001	μB per atom
DFT total energy	-14.19	eV per cell

***

3.
ScTc2W: relaxed, PBEsol.

Cell: 2.9501 2.9501 8.6258 Å, 80.15 80.15 60.00°
With the nearest neighbours (Å) after each atom.
Atoms (fractional coordinates):
Tc  0.7545  0.7545  0.7365  3 W 2.63, 3 Sc 2.80
Tc  0.2455  0.2455  0.2635  3 W 2.63, 3 Sc 2.80
Sc  0.0000  0.0000  0.0000  6 Tc 2.80, 6 Sc 2.95
W  0.5000  0.5000  0.5000  6 Tc 2.63

Summary:
space-group type	R-3m (166)
spin magnetization	0.000	μB per atom
energy above the most stable polymorph in this dataset	1.62	eV per formula unit
DFT total energy	-42.14	eV per cell

***

4.
TaV2Re: relaxed, PBEsol.

Cell: 4.3218 4.3218 4.3218 Å, 60.00 60.00 60.00°
With the nearest neighbours (Å) after each atom.
Atoms (fractional coordinates):
Re  0.0000  0.0000  0.0000  8 V 2.65
V  0.7500  0.7500  0.7500  4 Re 2.65, 4 Ta 2.65
V  0.2500  0.2500  0.2500  4 Ta 2.65, 4 Re 2.65
Ta  0.5000  0.5000  0.5000  8 V 2.65

Summary:
space-group type	Fm-3m (225)
spin magnetization	0.000	μB per atom
DFT total energy	-46.02	eV per cell

***

5.
NiSnSb2Te: relaxed, PBEsol.

Cell: 4.8760 4.8760 5.2837 Å, 90.00 90.00 90.00°
With the nearest neighbours (Å) after each atom.
Atoms (fractional coordinates):
Te  0.0000  0.0000  0.5000  2 Ni 2.64
Sb  0.0000  0.5000  0.0000  2 Ni 2.44
Sb  0.5000  0.0000  0.0000  2 Ni 2.44
Sn  0.5000  0.5000  0.5000  4 Te 3.45, 8 Sb 3.59
Ni  0.0000  0.0000  0.0000  4 Sb 2.44, 2 Te 2.64

Summary:
space-group type	P4/mmm (123)
spin magnetization	0.000	μB per atom
DFT total energy	-22.02	eV per cell

***

6.
Cu2Re: relaxed, PBEsol.

Cell: 2.4832 4.1728 4.1728 Å, 120.00 90.00 90.00°
With the nearest neighbours (Å) after each atom.
Atoms (fractional coordinates):
Cu  0.0000  0.3333  0.6667  5 Cu 2.41-2.48
Cu  0.0000  0.6667  0.3333  5 Cu 2.41-2.48
Re  0.5000  0.0000  0.0000  2 Re 2.48, 12 Cu 2.71

Summary:
space-group type	P6/mmm (191)
spin magnetization	0.000	μB per atom
DFT total energy	-20.75	eV per cell